Entry 1:
CsLi2CaCu: relaxed, PBE.

a = 6.096 Å, b = 6.096 Å, c = 7.955 Å
α = 90.00°, β = 90.00°, γ = 90.00°
Space group P4/mmm (No. 123)
One atom of each set of equivalent atoms:
Cs 0.000 0.000 0.000 [1 per cell]
Li 0.000 0.500 0.500 [2 per cell]
Ca 0.000 0.000 0.500 [1 per cell]
Cu 0.500 0.500 0.000 [1 per cell]

Values from the calculation:
ΔH_f (0 K) = 953 meV/atom
calculated volume = 295.6 Å³ per cell


Entry 2:
Tb2DyAl9: relaxed, PBE.

a = 5.5782 Å, b = 5.5782 Å, c = 26.2840 Å
α = 90.00°, β = 90.00°, γ = 120.00°
Space group R-3m (No. 166, hexagonal axes)
One atom of each set of equivalent atoms:
Tb 0.0000 0.0000 0.1421 [6 per cell]
Dy 0.0000 0.0000 0.0000 [3 per cell]
Al 0.0000 0.0000 0.3354 [6 per cell]
Al 0.0000 0.0000 0.5000 [3 per cell]
Al 0.0075 0.5037 0.9167 [18 per cell]

Values from the calculation:
ΔH_f (0 K) = -366 meV/atom
polymorph energy (0 for the lowest one) = 56 meV per atom
calculated volume = 708.3 Å³ per cell


Entry 3:
CoNi2Ir3: relaxed, PBE.

a = 11.409 Å, b = 2.674 Å, c = 5.219 Å
α = 90.00°, β = 101.33°, γ = 90.00°
Space group C2/m (No. 12)
One atom of each set of equivalent atoms:
Co 0.000 0.000 0.000 [2 per cell]
Ni 0.164 0.500 0.331 [4 per cell]
Ir 0.000 0.000 0.500 [2 per cell]
Ir 0.167 0.500 0.834 [4 per cell]

Values from the calculation:
ΔH_f (0 K) = 23 meV/atom
calculated volume = 156.1 Å³ per cell


Entry 4:
IrPb: relaxed, PBE.

a = 4.3572 Å, b = 4.3572 Å, c = 18.2950 Å
α = 90.00°, β = 90.00°, γ = 120.00°
Space group R-3m (No. 166, hexagonal axes)
One atom of each set of equivalent atoms:
Ir 0.0000 0.0000 0.1630 [6 per cell]
Pb 0.0000 0.0000 0.4053 [6 per cell]

Values from the calculation:
ΔH_f (0 K) = 271 meV/atom
calculated volume = 300.8 Å³ per cell


Entry 5:
NaCeTlPt: relaxed, PBE.

a = 7.244 Å, b = 7.244 Å, c = 7.244 Å
α = 90.00°, β = 90.00°, γ = 90.00°
Space group F-43m (No. 216)
One atom of each set of equivalent atoms:
Na 0.000 0.000 0.000 [4 per cell]
Ce 0.000 0.000 0.500 [4 per cell]
Tl 0.250 0.250 0.750 [4 per cell]
Pt 0.250 0.250 0.250 [4 per cell]

Values from the calculation:
ΔH_f (0 K) = -326 meV/atom
calculated volume = 380.1 Å³ per cell


Entry 6:
SmAlBi2: relaxed, PBE.

a = 5.0236 Å, b = 5.0236 Å, c = 24.5729 Å
α = 90.00°, β = 90.00°, γ = 120.00°
Space group R-3m (No. 166, hexagonal axes)
One atom of each set of equivalent atoms:
Sm 0.0000 0.0000 0.0000 [3 per cell]
Al 0.0000 0.0000 0.5000 [3 per cell]
Bi 0.0000 0.0000 0.3938 [6 per cell]

Values from the calculation:
ΔH_f (0 K) = 124 meV/atom
polymorph energy (0 for the lowest one) = 433 meV per atom
calculated volume = 537.1 Å³ per cell


Entry 7:
PmErTcO6: relaxed, PBE.

a = 5.5777 Å, b = 5.5777 Å, c = 9.2497 Å
α = 90.00°, β = 90.00°, γ = 120.00°
Space group P-31c (No. 163)
One atom of each set of equivalent atoms:
Pm 0.3333 0.6667 0.2500 [2 per cell]
Er 0.0000 0.0000 0.0000 [2 per cell]
Tc 0.3333 0.6667 0.7500 [2 per cell]
O 0.0551 0.3697 0.6316 [12 per cell]

Values from the calculation:
formation energy (no corrections) = -2.468 eV per atom
calculated volume = 249.2 Å³ per cell


Entry 8:
Ac2AgPd3: relaxed, PBE.

a = 4.030 Å, b = 5.071 Å, c = 16.014 Å
α = 90.00°, β = 90.00°, γ = 90.00°
Space group Immm (No. 71)
One atom of each set of equivalent atoms:
Ac 0.000 0.000 0.145 [4 per cell]
Ag 0.000 0.000 0.500 [2 per cell]
Pd 0.000 0.000 0.332 [4 per cell]
Pd 0.000 0.500 0.500 [2 per cell]

Values from the calculation:
ΔH_f (0 K) = -424 meV/atom
polymorph energy (0 for the lowest one) = 228 meV per atom
calculated volume = 327.3 Å³ per cell


Entry 9:
La3MnGaS7: relaxed, PBE.

a = 10.2265 Å, b = 10.2265 Å, c = 6.1503 Å
α = 90.00°, β = 90.00°, γ = 120.00°
Space group P6_3 (No. 173)
One atom of each set of equivalent atoms:
La 0.1419 0.3751 0.0000 [6 per cell]
Mn 0.0000 0.0000 0.2168 [2 per cell]
Ga 0.3333 0.6667 0.5802 [2 per cell]
S 0.0909 0.2344 0.4457 [6 per cell]
S 0.0981 0.5803 0.7302 [6 per cell]
S 0.3333 0.6667 0.2126 [2 per cell]

Values from the calculation:
formation energy (no corrections) = -1.643 eV per atom
calculated volume = 557.0 Å³ per cell


Entry 10:
MnRuCl2: relaxed, PBE.

a = 4.207 Å, b = 4.304 Å, c = 8.398 Å
α = 90.00°, β = 90.00°, γ = 90.00°
Space group Cmm2 (No. 35)
One atom of each set of equivalent atoms:
Mn 0.000 0.000 0.000 [2 per cell]
Ru 0.000 0.500 0.199 [2 per cell]
Cl 0.000 0.000 0.389 [2 per cell]
Cl 0.000 0.500 0.817 [2 per cell]

Values from the calculation:
formation energy (no corrections) = -0.004 eV per atom
polymorph energy (0 for the lowest one) = 151 meV per atom
calculated volume = 152.0 Å³ per cell


Entry 11:
TcHgPb2: relaxed, PBE.

a = 4.290 Å, b = 4.838 Å, c = 9.799 Å
α = 90.00°, β = 90.00°, γ = 90.00°
Space group Cmmm (No. 65)
One atom of each set of equivalent atoms:
Tc 0.000 0.000 0.000 [2 per cell]
Hg 0.000 0.000 0.500 [2 per cell]
Pb 0.000 0.500 0.200 [4 per cell]

Values from the calculation:
ΔH_f (0 K) = 416 meV/atom
calculated volume = 203.4 Å³ per cell


Entry 12:
ScFeAs2: relaxed, PBE.

a = 3.654 Å, b = 3.654 Å, c = 5.374 Å
α = 90.00°, β = 90.00°, γ = 90.00°
Space group P4mm (No. 99)
One atom of each set of equivalent atoms:
Sc 0.000 0.000 0.000 [1 per cell]
Fe 0.500 0.500 0.622 [1 per cell]
As 0.000 0.000 0.512 [1 per cell]
As 0.500 0.500 0.112 [1 per cell]

Values from the calculation:
ΔH_f (0 K) = -452 meV/atom
polymorph energy (0 for the lowest one) = 104 meV per atom
calculated volume = 71.8 Å³ per cell